[1]
Computed, not measured: an optimized crystal structure of KPrHgSe3 at the GGA-PBE level of DFT.

Symmetry   P2_1/m (11)
DFT total energy   -3.96 eV per atom
ρ   5.2 g cm⁻³
Volume   32.61 Å³/atom
Total moment   0.00 μB/f.u.
ΔE_f (raw)   -1.1887 eV per atom

Cell: 8.9991 4.3770 10.3031 Å, 90.00 105.34 90.00°
Fractional positions:
K 0.2117 0.2500 0.2369
K 0.7883 0.7500 0.7631
Pr 0.3249 0.7500 0.8598
Pr 0.6751 0.2500 0.1402
Hg 0.0941 0.2500 0.6124
Hg 0.9059 0.7500 0.3876
Se 0.0930 0.2500 0.8686
Se 0.2313 0.7500 0.5360
Se 0.4548 0.7500 0.1532
Se 0.5452 0.2500 0.8468
Se 0.7687 0.2500 0.4640
Se 0.9070 0.7500 0.1314

[2]
Computed, not measured: an optimized crystal structure of Zr2CdFe at the GGA-PBE level of DFT.

Symmetry   P2/m (10)
DFT total energy   -6.74 eV per atom
ρ   7.6 g cm⁻³
Volume   19.20 Å³/atom
Total moment   0.41 μB/f.u.
Fermi-level density of states   3.11 states/eV per cell
Formation enthalpy at 0 K   -0.1241 eV/atom

Cell: 3.2246 3.2042 7.4335 Å, 90.00 90.09 90.00°
Fractional positions:
Zr 0.0009 0.0000 0.2907
Zr 0.9991 0.0000 0.7093
Cd 0.5000 0.5000 0.0000
Fe 0.5000 0.5000 0.5000

[3]
Computed, not measured: an optimized crystal structure of TaCu2F at the GGA-PBE level of DFT.

Symmetry   I-42d (122)
DFT total energy   -5.55 eV per atom
ρ   10.0 g cm⁻³
Volume   13.54 Å³/atom
Total moment   0.00 μB/f.u.
Fermi-level density of states   4.17 states/eV per cell
ΔE_f (raw)   -0.0714 eV per atom

Cell: 6.9118 6.9118 4.5352 Å, 90.00 90.00 90.00°
Fractional positions:
Ta 0.0000 0.0000 0.0000
Ta 0.0000 0.5000 0.2500
Ta 0.5000 0.0000 0.7500
Ta 0.5000 0.5000 0.5000
Cu 0.2137 0.2500 0.6250
Cu 0.2500 0.7137 0.8750
Cu 0.2500 0.7863 0.3750
Cu 0.2863 0.2500 0.1250
Cu 0.7137 0.7500 0.1250
Cu 0.7500 0.2137 0.3750
Cu 0.7500 0.2863 0.8750
Cu 0.7863 0.7500 0.6250
F 0.0000 0.0000 0.5000
F 0.0000 0.5000 0.7500
F 0.5000 0.0000 0.2500
F 0.5000 0.5000 0.0000

[4]
Computed, not measured: an optimized crystal structure of CuBr2Cl at the GGA-PBE level of DFT.

Symmetry   Pmmm (47)
DFT total energy   -2.14 eV per atom
ρ   3.7 g cm⁻³
Volume   28.69 Å³/atom
Total moment   0.00 μB/f.u.
Fermi-level density of states   1.79 states/eV per cell
ΔE_f (raw)   0.1863 eV per atom

Cell: 3.8316 3.8747 7.7287 Å, 90.00 90.00 90.00°
Fractional positions:
Cu 0.0000 0.0000 0.0000
Br 0.0000 0.5000 0.5000
Br 0.5000 0.0000 0.5000
Cl 0.5000 0.5000 0.0000